VASP calculation (PBE+U) on an optimized crystal structure of BaCo2SiO4.

Summary:
VASP energy = -6.4262 eV per atom
total moment = 4.0 μB/f.u.
symmetry = Fmm2, No. 42

Cell: 5.5307 5.5307 5.1938 Å, 120.98 120.98 91.91°
Closest atoms and distances in Å follow each position.
Positions (direct):
O 0.4695 0.8091 0.2787  1 Si 1.67
O 0.8091 0.4695 0.2787  1 Si 1.67
O 0.1820 0.1820 0.7090  1 Si 1.67
O 0.5271 0.5271 0.7091  1 Si 1.67
Co 0.2532 0.7532 0.5063  4 O 2.18-2.19
Co 0.7532 0.2532 0.5063  4 O 2.18-2.19
Ba 0.0073 0.0073 0.0147  8 O 2.73-2.90
Si 0.4989 0.4989 0.9977  4 O 1.67